No. 1
The following is a PBE-GGA calculation of a relaxed structure of LaHg3Pb, from the Alexandria database.

## Properties
energy of formation: 0.45 eV per atom
SG: No. 221

Cell: 5.917 5.917 5.917 Å, 90.00 90.00 90.00°
Fractional coordinates of all 5 atoms:
La (0.000, 0.000, 0.000)
Hg (0.000, 0.000, 0.500)
Hg (0.000, 0.500, 0.000)
Hg (0.500, 0.000, 0.000)
Pb (0.500, 0.500, 0.500)

---

No. 2
The following is a PBE-GGA calculation of a relaxed structure of Tc2P2Au, from the Alexandria database.

## Properties
energy of formation: -0.16 eV per atom
SG: No. 139

Cell: 6.510 6.510 6.510 Å, 148.36 148.36 45.36°
Fractional coordinates of all 5 atoms:
Tc (0.119, 0.119, 0.000)
Tc (0.881, 0.881, 0.000)
P (0.250, 0.750, 0.500)
P (0.750, 0.250, 0.500)
Au (0.500, 0.500, 0.000)

---

No. 3
The following is a PBE-GGA calculation of a relaxed structure of CsAlSbSe4, from the Alexandria database.

## Properties
E_form (uncorrected): -0.647 eV/atom
SG: No. 11

Cell: 6.644 7.323 9.564 Å, 90.00 100.18 90.00°
Fractional coordinates of all 14 atoms:
Cs (0.221, 0.250, 0.070)
Cs (0.779, 0.750, 0.930)
Al (0.346, 0.250, 0.667)
Al (0.654, 0.750, 0.333)
Sb (0.162, 0.750, 0.408)
Sb (0.838, 0.250, 0.592)
Se (0.123, 0.505, 0.700)
Se (0.123, 0.995, 0.700)
Se (0.333, 0.750, 0.172)
Se (0.437, 0.250, 0.438)
Se (0.563, 0.750, 0.562)
Se (0.667, 0.250, 0.828)
Se (0.877, 0.005, 0.300)
Se (0.877, 0.495, 0.300)

---

No. 4
The following is a PBE-GGA calculation of a relaxed structure of Y2MnAs, from the Alexandria database.

## Properties
energy of formation: -0.67 eV per atom
SG: No. 38

Cell: 4.160 5.814 5.814 Å, 40.16 90.00 90.00°
Fractional coordinates of all 4 atoms:
Y (0.000, 0.000, 0.000)
Y (0.500, 0.288, 0.288)
Mn (0.000, 0.718, 0.718)
As (0.500, 0.573, 0.573)

---

No. 5
The following is a PBE-GGA calculation of a relaxed structure of PrUS2N, from the Alexandria database.

## Properties
E_form (uncorrected): -1.703 eV/atom
SG: No. 129

Cell: 3.883 3.883 14.379 Å, 90.00 90.00 90.00°
Fractional coordinates of all 10 atoms:
Pr (0.250, 0.250, 0.128)
Pr (0.750, 0.750, 0.872)
U (0.250, 0.250, 0.581)
U (0.750, 0.750, 0.419)
S (0.250, 0.250, 0.319)
S (0.250, 0.250, 0.912)
S (0.750, 0.750, 0.088)
S (0.750, 0.750, 0.681)
N (0.250, 0.750, 0.500)
N (0.750, 0.250, 0.500)

---

No. 6
The following is a PBE-GGA calculation of a relaxed structure of PrIn2SnTe4, from the Alexandria database.

## Properties
E_form (uncorrected): -0.606 eV/atom
SG: No. 10

Cell: 7.944 4.505 8.072 Å, 90.00 109.24 90.00°
Fractional coordinates of all 8 atoms:
Pr (0.000, 0.000, 0.000)
In (0.000, 0.500, 0.500)
In (0.500, 0.000, 0.500)
Sn (0.500, 0.500, 0.000)
Te (0.246, 0.500, 0.240)
Te (0.248, 0.000, 0.756)
Te (0.752, 0.000, 0.244)
Te (0.754, 0.500, 0.760)

---

No. 7
The following is a PBE-GGA calculation of a relaxed structure of Tm4In3Ga, from the Alexandria database.

## Properties
energy of formation: -0.43 eV per atom
SG: No. 25

Cell: 4.189 4.499 11.181 Å, 90.00 90.00 90.00°
Fractional coordinates of all 8 atoms:
Tm (0.000, 0.000, 0.000)
Tm (0.000, 0.500, 0.485)
Tm (0.500, 0.000, 0.715)
Tm (0.500, 0.500, 0.220)
In (0.000, 0.500, 0.765)
In (0.500, 0.000, 0.433)
In (0.500, 0.500, 0.943)
Ga (0.000, 0.000, 0.267)

---

No. 8
The following is a PBE-GGA calculation of a relaxed structure of Y3Ta, from the Alexandria database.

## Properties
energy of formation: 0.31 eV per atom
SG: No. 62

Cell: 8.442 9.233 5.954 Å, 90.00 90.00 90.00°
Fractional coordinates of all 16 atoms:
Y (0.023, 0.250, 0.098)
Y (0.172, 0.062, 0.604)
Y (0.172, 0.438, 0.604)
Y (0.328, 0.562, 0.104)
Y (0.328, 0.938, 0.104)
Y (0.477, 0.750, 0.598)
Y (0.523, 0.250, 0.402)
Y (0.672, 0.062, 0.896)
Y (0.672, 0.438, 0.896)
Y (0.828, 0.562, 0.396)
Y (0.828, 0.938, 0.396)
Y (0.977, 0.750, 0.902)
Ta (0.132, 0.750, 0.422)
Ta (0.368, 0.250, 0.922)
Ta (0.632, 0.750, 0.078)
Ta (0.868, 0.250, 0.578)

---

No. 9
The following is a PBE-GGA calculation of a relaxed structure of K6RbTl6, from the Alexandria database.

## Properties
energy of formation: -0.05 eV per atom
SG: No. 71

Cell: 9.549 9.549 9.549 Å, 137.53 98.61 96.47°
Fractional coordinates of all 13 atoms:
K (0.156, 0.500, 0.656)
K (0.174, 0.174, 0.000)
K (0.323, 0.000, 0.323)
K (0.677, 0.000, 0.677)
K (0.826, 0.826, 0.000)
K (0.844, 0.500, 0.344)
Rb (0.500, 0.500, 0.000)
Tl (0.000, 0.000, 0.500)
Tl (0.000, 0.500, 0.000)
Tl (0.262, 0.762, 0.500)
Tl (0.500, 0.000, 0.000)
Tl (0.500, 0.500, 0.500)
Tl (0.738, 0.238, 0.500)

---

No. 10
The following is a PBE-GGA calculation of a relaxed structure of Li2ZrTlBr8, from the Alexandria database.

## Properties
E_form (uncorrected): -1.158 eV/atom
SG: No. 2

Cell: 6.025 6.799 9.168 Å, 90.03 90.13 91.42°
Fractional coordinates of all 12 atoms:
Li (0.000, 0.000, 0.225)
Li (0.000, 0.000, 0.775)
Zr (0.500, 0.500, 0.000)
Tl (0.500, 0.500, 0.500)
Br (0.246, 0.029, 0.500)
Br (0.246, 0.171, 0.000)
Br (0.253, 0.656, 0.795)
Br (0.254, 0.657, 0.205)
Br (0.746, 0.343, 0.795)
Br (0.747, 0.344, 0.205)
Br (0.754, 0.829, 0.000)
Br (0.754, 0.971, 0.500)

---

No. 11
The following is a PBE-GGA calculation of a relaxed structure of NaMg2CrPb, from the Alexandria database.

## Properties
energy of formation: 0.68 eV per atom
SG: No. 123

Cell: 5.275 5.275 5.403 Å, 90.00 90.00 90.00°
Fractional coordinates of all 5 atoms:
Na (0.000, 0.000, 0.000)
Mg (0.000, 0.500, 0.500)
Mg (0.500, 0.000, 0.500)
Cr (0.000, 0.000, 0.500)
Pb (0.500, 0.500, 0.000)

---

No. 12
The following is a PBE-GGA calculation of a relaxed structure of Sc3AgGe, from the Alexandria database.

## Properties
energy of formation: 0.04 eV per atom
SG: No. 221

Cell: 5.065 5.065 5.065 Å, 90.00 90.00 90.00°
Fractional coordinates of all 5 atoms:
Sc (0.000, 0.000, 0.500)
Sc (0.000, 0.500, 0.000)
Sc (0.500, 0.000, 0.000)
Ag (0.500, 0.500, 0.500)
Ge (0.000, 0.000, 0.000)

---

What Fermi-level density of states values result from the calculations? In sequence: 7.199 3.948 8.218 2.187 11.666 4.087 6.226 19.971 6.452 1.587 2.990 3.772 states/eV per cell.
What calculated volume values result from the calculations? In sequence: 41.4 15.1 32.7 22.7 21.7 34.1 26.3 29.0 42.1 31.3 30.1 26.0 Å³ per atom.